GGA-PBE TcI2OF, relaxed; density = 6.1 g/cm3; energy relative to the lowest polymorph listed for this composition = 1448 meV per atom; symmetry = P4/mmm (123); raw formation energy = 1052 meV/atom
1.0
-1.671 -4.907 0.549
4.205 -1.718 -2.557
1.939 -0.282 3.379
I Tc O F
2 1 1 1
Cartesian
2.103 -0.859 -1.278
-0.836 -2.453 0.275
2.236 -3.454 0.686
0.970 -0.141 1.689
0.000 0.000 0.000

=====

GGA-PBE CaMoN3, relaxed; density = 4.5 g/cm3; symmetry = P2_1/c (14); raw formation energy = -451 meV/atom
1.0
-11.683 -16.347 -6.787
1.349 -2.896 4.654
2.692 7.037 3.599
Mo Ca N
4 4 12
Cartesian
-3.028 -6.131 2.796
-4.614 -6.076 -1.330
-8.874 -11.237 -2.111
1.232 -0.970 3.578
1.029 2.332 2.805
-8.671 -14.538 -1.339
-1.507 -2.796 3.773
-6.135 -9.411 -2.306
0.546 -0.773 5.695
-8.189 -11.434 -4.229
-0.529 -0.756 2.594
-7.114 -11.451 -1.127
-3.257 -5.814 0.752
-4.386 -6.393 0.714
-0.564 -0.291 -0.016
-7.079 -11.915 1.482
-1.598 -5.352 3.598
-6.044 -6.855 -2.131
-1.025 -3.324 1.269
-6.617 -8.883 0.197

=====

GGA-PBE Fe2Re3, relaxed; DFT formation energy = 0.52 eV/atom; density = 15.4 g/cm3; energy relative to the lowest polymorph listed for this composition = 529 meV per atom; symmetry = P-3m1 (164)
1.0
-0.560 3.618 -1.681
-1.582 -0.808 3.616
4.281 1.710 2.255
Fe Re
2 3
Cartesian
-0.343 2.365 0.378
2.482 2.155 3.811
0.000 0.000 0.000
1.749 3.201 1.480
0.390 1.319 2.709

=====

GGA-PBE CaSnPb, relaxed; DFT formation energy = -0.35 eV/atom; density = 6.7 g/cm3; energy relative to the lowest polymorph listed for this composition = 10 meV per atom; symmetry = P3m1 (156)
1.0
3.544 0.000 0.000
0.000 5.434 0.000
0.000 -2.717 4.706
Pb Ca Sn
1 1 1
Cartesian
0.595 0.000 3.137
2.363 2.717 1.569
0.586 0.000 0.000

=====

GGA-PBE VCo2Pd, relaxed; DFT formation energy = 0.04 eV/atom; density = 9.1 g/cm3; energy relative to the lowest polymorph listed for this composition = 155 meV per atom; symmetry = Fm-3m (225)
1.0
0.000 2.924 2.924
2.924 0.000 2.924
2.924 2.924 0.000
Co Pd V
2 1 1
Cartesian
1.462 1.462 1.462
4.386 4.386 4.386
2.924 2.924 2.924
0.000 0.000 0.000

=====

GGA-PBE GePbSe2Br, relaxed; density = 6.2 g/cm3; energy relative to the lowest polymorph listed for this composition = 0 meV per atom; symmetry = P4/mmm (123); raw formation energy = -136 meV/atom
1.0
5.124 0.000 0.000
0.000 5.124 0.000
0.000 0.000 5.253
Pb Ge Se Br
1 1 2 1
Cartesian
2.562 2.562 2.626
0.000 0.000 0.000
0.000 2.562 0.000
2.562 0.000 0.000
0.000 0.000 2.626

=====

GGA-PBE Sm2Tm3ThSe6, relaxed; density = 8.6 g/cm3; symmetry = C2/m (12); raw formation energy = -1690 meV/atom
1.0
-3.275 -0.054 -2.370
4.110 -4.632 -5.574
-2.356 -5.820 6.836
Sm Tm Th Se
2 3 1 6
Cartesian
-1.561 -7.109 -1.130
0.040 -3.397 0.022
0.417 -2.343 -3.972
-3.624 -4.715 1.666
2.103 -5.791 -2.774
-1.638 -0.027 -1.185
1.191 -8.125 -1.461
-0.532 -4.697 -2.607
-2.712 -2.382 0.353
-4.515 -7.034 2.950
2.994 -3.472 -4.058
-0.989 -5.810 1.499

=====

GGA-PBE AgAu2Cl, relaxed; density = 11.8 g/cm3; energy relative to the lowest polymorph listed for this composition = 165 meV per atom; symmetry = Cmmm (65); raw formation energy = 129 meV/atom
1.0
-2.973 0.176 -0.805
2.108 -0.281 -2.234
-0.667 -8.983 0.501
Au Ag Cl
2 1 1
Cartesian
-0.002 -0.031 0.002
-0.331 -4.460 0.249
-0.933 -6.790 -1.144
-0.599 -2.298 -1.394

=====

GGA-PBE MgGa2, relaxed; DFT formation energy = -0.10 eV/atom; density = 4.7 g/cm3; symmetry = Cmcm (63)
1.0
1.537 -7.990 0.000
1.537 7.990 0.000
0.000 0.000 4.699
Mg Ga
2 4
Cartesian
1.537 6.247 1.175
1.537 -6.247 3.524
1.537 0.884 1.175
1.537 -4.405 1.175
1.537 4.405 3.524
1.537 -0.884 3.524

=====

GGA-PBE Ba12LiTl6, relaxed; DFT formation energy = -0.11 eV/atom; density = 4.6 g/cm3; symmetry = R-3 (148)
1.0
10.286 -0.120 -0.144
-1.678 10.149 -0.144
-1.678 -1.955 9.960
Ba Li Tl
12 1 6
Cartesian
6.803 4.839 4.040
2.043 7.196 5.483
3.752 2.642 8.060
0.126 3.234 5.632
4.887 0.877 4.188
3.177 5.431 1.611
-1.472 8.810 3.139
-2.002 4.963 9.228
5.209 9.299 0.443
8.401 -0.736 6.532
8.931 3.110 0.443
1.720 -1.226 9.229
0.000 0.000 0.000
5.148 7.905 3.651
5.556 2.654 1.241
-0.104 5.605 2.833
1.781 0.168 6.021
1.374 5.419 8.430
7.033 2.468 6.839

=====

GGA-PBE Ag2GeTe5, relaxed; density = 4.9 g/cm3; symmetry = P1 (1); raw formation energy = 80 meV/atom
1.0
0.401 1.111 -6.215
6.192 -0.608 0.010
-11.776 -7.551 2.977
Ag Ge Te
2 1 5
Cartesian
-2.107 -3.048 -0.381
-1.875 -2.364 -3.652
-4.219 -5.394 -2.813
1.369 0.159 -4.745
1.199 -0.294 -1.607
4.419 -0.439 -4.797
4.248 -0.740 -1.628
-1.615 -4.765 -2.416

=====

GGA-PBE Ta2TiBeTc, relaxed; DFT formation energy = 0.57 eV/atom; density = 10.6 g/cm3; symmetry = P4/mmm (123)
1.0
4.467 0.000 0.000
0.000 4.075 0.000
0.000 0.000 4.467
Be Ti Tc Ta
1 1 1 2
Cartesian
0.000 0.000 0.000
0.000 2.037 0.000
2.234 2.037 2.234
0.000 0.000 2.234
2.234 0.000 0.000

=====

GGA-PBE CdIn2Sb, relaxed; density = 7.1 g/cm3; energy relative to the lowest polymorph listed for this composition = 26 meV per atom; symmetry = C2/m (12); raw formation energy = 63 meV/atom
1.0
6.156 0.006 0.014
-2.924 5.417 0.014
-0.015 -0.025 3.237
Sb Cd In
1 1 2
Cartesian
3.070 -0.009 1.625
-1.469 2.696 1.625
0.000 0.000 0.000
1.616 2.712 0.014

=====

GGA-PBE TaRh2Cl, relaxed; density = 10.8 g/cm3; energy relative to the lowest polymorph listed for this composition = 633 meV per atom; symmetry = Fm-3m (225); raw formation energy = 289 meV/atom
1.0
2.317 -0.663 3.806
-1.161 -3.340 2.790
2.659 -3.612 0.418
Cl Rh Ta
1 2 1
Cartesian
0.000 0.000 0.000
0.954 -1.904 1.753
2.861 -5.711 5.260
1.907 -3.808 3.507

=====

GGA-PBE Li3CuPd2, relaxed; DFT formation energy = -0.11 eV/atom; density = 4.5 g/cm3; energy relative to the lowest polymorph listed for this composition = 216 meV per atom; symmetry = Ibam (72)
1.0
7.779 0.000 -3.419
-1.081 4.396 -2.458
-1.632 0.409 6.846
Li Cu Pd
6 2 4
Cartesian
5.294 2.198 -3.793
1.404 2.198 -2.084
3.705 4.375 -2.130
0.401 1.991 0.913
4.665 2.814 0.055
1.362 0.430 3.098
1.945 0.000 -0.855
5.834 0.000 -2.564
1.253 3.414 2.851
3.813 1.391 -1.883
-0.618 3.592 -1.405
5.684 1.213 2.373

=====

GGA-PBE ErThCd4, relaxed; DFT formation energy = -0.16 eV/atom; density = 9.5 g/cm3; energy relative to the lowest polymorph listed for this composition = 70 meV per atom; symmetry = F-43m (216)
1.0
5.939 0.000 0.000
2.970 5.143 0.000
2.970 1.714 4.849
Cd Th Er
4 1 1
Cartesian
5.939 3.429 0.611
5.939 1.719 3.029
7.420 4.284 3.029
4.459 4.284 3.029
0.000 0.000 0.000
2.970 1.714 1.212

=====

GGA-PBE CaTc2HgO8, relaxed; density = 4.5 g/cm3; symmetry = I-4m2 (119); raw formation energy = -1490 meV/atom
1.0
-3.689 -2.851 -4.528
3.750 -4.009 3.479
-4.076 2.832 4.196
Ca Tc Hg O
1 2 1 8
Cartesian
-0.147 -2.303 3.575
-3.867 -1.724 -0.428
0.031 -3.430 -0.525
0.000 0.000 0.000
-2.528 -0.610 -0.201
-0.038 -2.629 1.046
-3.994 0.637 2.413
-5.225 -0.617 -0.316
-1.391 -4.451 -0.741
-3.800 -2.631 -1.931
-3.913 -3.040 0.735
-2.605 -1.612 3.577

=====

GGA-PBE La3Y6Sc, relaxed; DFT formation energy = 0.24 eV/atom; density = 5.0 g/cm3; symmetry = R3 (146)
1.0
8.789 0.000 4.664
3.157 8.203 4.664
2.264 1.554 6.348
La Y Sc
3 6 1
Cartesian
6.334 4.349 9.291
7.629 5.238 6.850
2.773 1.904 5.388
10.498 5.296 8.442
5.703 7.895 6.844
6.632 2.487 5.367
3.765 4.652 6.879
8.690 1.843 8.469
7.851 7.448 10.066
11.174 7.673 10.783

=====

GGA-PBE LiNiN, relaxed; density = 4.6 g/cm3; symmetry = C2/m (12); raw formation energy = -141 meV/atom
1.0
4.194 0.000 0.003
0.000 2.838 0.000
-0.503 0.000 9.650
Li Ni N
4 4 4
Cartesian
1.008 0.000 2.265
2.683 0.000 7.388
0.756 1.419 7.091
2.934 1.419 2.563
0.000 0.000 0.000
-0.252 1.419 4.825
1.845 0.000 4.827
2.097 1.419 0.002
0.894 0.000 8.498
2.797 0.000 1.156
1.146 1.419 3.673
2.545 1.419 5.981

=====

GGA-PBE CaPtSCl2, relaxed; density = 3.9 g/cm3; energy relative to the lowest polymorph listed for this composition = 753 meV per atom; symmetry = P4/mmm (123); raw formation energy = -59 meV/atom
1.0
5.095 0.000 0.000
0.000 5.095 0.000
0.000 0.000 5.612
Ca S Pt Cl
1 1 1 2
Cartesian
0.000 0.000 0.000
0.000 0.000 2.806
2.548 2.548 2.806
0.000 2.548 0.000
2.548 0.000 0.000

=====

GGA-PBE AsRh4, relaxed; DFT formation energy = -0.07 eV/atom; density = 11.2 g/cm3; energy relative to the lowest polymorph listed for this composition = 0 meV per atom; symmetry = I4/m (87)
1.0
-2.958 2.958 2.061
2.958 -2.958 2.061
2.958 2.958 -2.061
As Rh
1 4
Cartesian
0.000 0.000 0.000
-0.692 1.824 2.061
1.134 2.266 0.000
3.650 1.134 0.000
1.824 0.692 2.061

=====

Number 1: E -15.037 eV/f.u., D(E_F) 5.1 states/eV per cell. Number 2: E -40.065 eV/f.u., D(E_F) 2.3 states/eV per cell. Number 3: E -51.686 eV/f.u., D(E_F) 6.8 states/eV per cell. Number 4: E -10.768 eV/f.u., D(E_F) 1.0 states/eV per cell. Number 5: E -28.353 eV/f.u., D(E_F) 4.3 states/eV per cell. Number 6: E -17.645 eV/f.u., D(E_F) 2.2 states/eV per cell. Number 7: E -71.456 eV/f.u., D(E_F) 6.5 states/eV per cell. Number 8: E -10.738 eV/f.u., D(E_F) 1.0 states/eV per cell. Number 9: E -7.956 eV/f.u., D(E_F) 1.4 states/eV per cell. Number 10: E -41.197 eV/f.u., D(E_F) 30.1 states/eV per cell. Number 11: E -25.385 eV/f.u., D(E_F) 1.9 states/eV per cell. Number 12: E -42.839 eV/f.u., D(E_F) 3.6 states/eV per cell. Number 13: E -10.262 eV/f.u., D(E_F) 1.4 states/eV per cell. Number 14: E -27.247 eV/f.u., D(E_F) 1.4 states/eV per cell. Number 15: E -20.861 eV/f.u., D(E_F) 4.6 states/eV per cell. Number 16: E -16.625 eV/f.u., D(E_F) 6.3 states/eV per cell. Number 17: E -80.581 eV/f.u., D(E_F) 2.0 states/eV per cell. Number 18: E -57.548 eV/f.u., D(E_F) 22.2 states/eV per cell. Number 19: E -16.444 eV/f.u., D(E_F) 5.3 states/eV per cell. Number 20: E -16.158 eV/f.u., D(E_F) 6.6 states/eV per cell. Number 21: E -34.412 eV/f.u., D(E_F) 6.1 states/eV per cell.